[1]
Here is Hf3NiS after structural relaxation from Alexandria via LeMat-Bulk. Energies are from GGA-PBE.

As for the energy relative to the elements, uncorrected: -0.10 eV/atom. For the total magnetization, the calculation gives 0.00 μB/atom. For the energy above the most stable polymorph in this dataset, the calculation gives 0.000 eV/atom. As for the space-group type: No. 221.

The structure in POSCAR format:
```
Hf3NiS
1.0
4.6823 0.0000 0.0000
0.0000 4.6823 0.0000
0.0000 0.0000 4.6823
Hf Ni S
3 1 1
Direct
0.0000 0.0000 0.5000
0.0000 0.5000 0.0000
0.5000 0.0000 0.0000
0.5000 0.5000 0.5000
0.0000 0.0000 0.0000
```

---

[2]
Here is Hf4Ni2S after structural relaxation from Alexandria via LeMat-Bulk. Energies are from GGA-PBE.

As for the energy relative to the elements, uncorrected: -0.69 eV/atom. For the total magnetization, the calculation gives 0.00 μB/atom. As for the space-group type: No. 12.

The structure in POSCAR format:
```
Hf4Ni2S
1.0
5.6974 -1.7220 0.0000
5.6974 1.7220 0.0000
-4.4674 0.0000 6.3606
Hf Ni S
4 2 1
Direct
0.0930 0.0930 0.3878
0.3134 0.3134 0.9034
0.6866 0.6866 0.0966
0.9070 0.9070 0.6122
0.3830 0.3830 0.3277
0.6170 0.6170 0.6723
0.0000 0.0000 0.0000
```

---

[3]
Here is Hf2NiS after structural relaxation from Alexandria via LeMat-Bulk. Energies are from GGA-PBE.

As for the energy relative to the elements, uncorrected: -0.44 eV/atom. For the total magnetization, the calculation gives 0.00 μB/atom. As for the space-group type: No. 122.

The structure in POSCAR format:
```
Hf2NiS
1.0
-3.3966 3.3966 3.1056
3.3966 -3.3966 3.1056
3.3966 3.3966 -3.1056
Hf Ni S
4 2 2
Direct
0.1231 0.6250 0.9981
0.3750 0.3731 0.4981
0.6269 0.1250 0.0019
0.8750 0.8769 0.5019
0.2500 0.7500 0.5000
0.5000 0.5000 0.0000
0.0000 0.0000 0.0000
0.7500 0.2500 0.5000
```

---

[4]
Here is HfNiS after structural relaxation from Alexandria via LeMat-Bulk. Energies are from GGA-PBE.

As for the energy relative to the elements, uncorrected: -0.87 eV/atom. For the total magnetization, the calculation gives 0.00 μB/atom. As for the space-group type: No. 166.

The structure in POSCAR format:
```
HfNiS
1.0
1.9673 1.1358 9.1270
-1.9673 1.1358 9.1270
0.0000 -2.2716 9.1270
Hf Ni S
2 2 2
Direct
0.0593 0.0593 0.0593
0.9407 0.9407 0.9407
0.3286 0.3286 0.3286
0.6714 0.6714 0.6714
0.2299 0.2299 0.2299
0.7701 0.7701 0.7701
```

---

[5]
Here is Hf4NiS after structural relaxation from Alexandria via LeMat-Bulk. Energies are from GGA-PBE.

As for the energy relative to the elements, uncorrected: -0.50 eV/atom. For the total magnetization, the calculation gives 0.00 μB/atom. As for the space-group type: No. 12.

The structure in POSCAR format:
```
Hf4NiS
1.0
6.5380 -1.6642 0.0000
6.5380 1.6642 0.0000
-2.6124 0.0000 5.3532
Hf Ni S
4 1 1
Direct
0.1461 0.1461 0.3226
0.3524 0.3524 0.1923
0.6476 0.6476 0.8077
0.8539 0.8539 0.6774
0.0000 0.0000 0.5000
0.5000 0.5000 0.0000
```

---

[6]
Here is Hf6Ni2S after structural relaxation from Alexandria via LeMat-Bulk. Energies are from GGA-PBE.

As for the energy relative to the elements, uncorrected: -0.53 eV/atom. For the total magnetization, the calculation gives 0.00 μB/atom. As for the space-group type: No. 12.

The structure in POSCAR format:
```
Hf6Ni2S
1.0
5.6029 -1.6861 0.0000
5.6029 1.6861 0.0000
-0.2885 0.0000 8.9912
Hf Ni S
6 2 1
Direct
0.0707 0.0707 0.2705
0.3490 0.3490 0.0771
0.3623 0.3623 0.4421
0.6377 0.6377 0.5579
0.6510 0.6510 0.9229
0.9293 0.9293 0.7295
0.2455 0.2455 0.7452
0.7545 0.7545 0.2548
0.0000 0.0000 0.0000
```

---

[7]
Here is Hf2NiS2 after structural relaxation from Alexandria via LeMat-Bulk. Energies are from GGA-PBE.

As for the energy relative to the elements, uncorrected: -0.38 eV/atom. For the total magnetization, the calculation gives 0.03 μB/atom. For the energy above the most stable polymorph in this dataset, the calculation gives 0.365 eV/atom. As for the space-group type: No. 139.

The structure in POSCAR format:
```
Hf2NiS2
1.0
-2.0602 2.0602 5.8982
2.0602 -2.0602 5.8982
2.0602 2.0602 -5.8982
Hf Ni S
2 1 2
Direct
0.1259 0.1259 0.0000
0.8741 0.8741 0.0000
0.5000 0.5000 0.0000
0.2500 0.7500 0.5000
0.7500 0.2500 0.5000
```

---

[8]
Here is Hf2NiS after structural relaxation from Alexandria via LeMat-Bulk. Energies are from GGA-PBE.

As for the energy relative to the elements, uncorrected: -0.79 eV/atom. For the total magnetization, the calculation gives 0.00 μB/atom. As for the space-group type: No. 160.

The structure in POSCAR format:
```
Hf2NiS
1.0
1.7391 1.0041 6.7386
-1.7391 1.0041 6.7386
0.0000 -2.0081 6.7386
Hf Ni S
2 1 1
Direct
0.0000 0.0000 0.0000
0.1764 0.1764 0.1764
0.5864 0.5864 0.5864
0.7554 0.7554 0.7554
```

---

[9]
Here is HfNi2S after structural relaxation from Alexandria via LeMat-Bulk. Energies are from GGA-PBE.

As for the energy relative to the elements, uncorrected: -0.24 eV/atom. For the total magnetization, the calculation gives 0.00 μB/atom. As for the space-group type: No. 122.

The structure in POSCAR format:
```
HfNi2S
1.0
-2.1122 2.1122 7.0547
2.1122 -2.1122 7.0547
2.1122 2.1122 -7.0547
Hf Ni S
2 4 2
Direct
0.0000 0.0000 0.0000
0.7500 0.2500 0.5000
0.2446 0.6250 0.1196
0.3750 0.4946 0.6196
0.5054 0.1250 0.8804
0.8750 0.7554 0.3804
0.2500 0.7500 0.5000
0.5000 0.5000 0.0000
```

---

[10]
Here is HfNiS2 after structural relaxation from Alexandria via LeMat-Bulk. Energies are from GGA-PBE.

As for the energy relative to the elements, uncorrected: -0.85 eV/atom. For the total magnetization, the calculation gives 0.00 μB/atom. For the energy above the most stable polymorph in this dataset, the calculation gives 0.000 eV/atom. As for the space-group type: No. 122.

The structure in POSCAR format:
```
HfNiS2
1.0
-2.6474 2.6474 5.5601
2.6474 -2.6474 5.5601
2.6474 2.6474 -5.5601
Hf Ni S
2 2 4
Direct
0.0000 0.0000 0.0000
0.7500 0.2500 0.5000
0.2500 0.7500 0.5000
0.5000 0.5000 0.0000
0.1579 0.6250 0.0329
0.3750 0.4079 0.5329
0.5921 0.1250 0.9671
0.8750 0.8421 0.4671
```

---

[11]
Here is Hf9Ni4S after structural relaxation from Alexandria via LeMat-Bulk. Energies are from GGA-PBE.

As for the energy relative to the elements, uncorrected: -0.35 eV/atom. For the total magnetization, the calculation gives 0.00 μB/atom. As for the space-group type: No. 194.

The structure in POSCAR format:
```
Hf9Ni4S
1.0
8.3551 0.0000 0.0000
-4.1776 7.2357 0.0000
0.0000 0.0000 8.2648
Hf Ni S
18 8 2
Direct
0.0779 0.5390 0.2500
0.1915 0.3829 0.5567
0.1915 0.3829 0.9433
0.1915 0.8085 0.5567
0.1915 0.8085 0.9433
0.3829 0.1915 0.0567
0.3829 0.1915 0.4433
0.4610 0.5390 0.2500
0.4610 0.9221 0.2500
0.5390 0.0779 0.7500
0.5390 0.4610 0.7500
0.6171 0.8085 0.5567
0.6171 0.8085 0.9433
0.8085 0.1915 0.0567
0.8085 0.1915 0.4433
0.8085 0.6171 0.0567
0.8085 0.6171 0.4433
0.9221 0.4610 0.7500
0.0000 0.0000 0.0000
0.0000 0.0000 0.5000
0.1075 0.2150 0.2500
0.1075 0.8925 0.2500
0.2150 0.1075 0.7500
0.7850 0.8925 0.2500
0.8925 0.1075 0.7500
0.8925 0.7850 0.7500
0.3333 0.6667 0.7500
0.6667 0.3333 0.2500
```

---

[12]
Here is HfNiS2 after structural relaxation from Alexandria via LeMat-Bulk. Energies are from GGA-PBE.

As for the energy relative to the elements, uncorrected: -0.84 eV/atom. For the total magnetization, the calculation gives 0.00 μB/atom. For the energy above the most stable polymorph in this dataset, the calculation gives 0.014 eV/atom. As for the space-group type: No. 166.

The structure in POSCAR format:
```
HfNiS2
1.0
1.7945 1.0360 7.2057
-1.7945 1.0360 7.2057
0.0000 -2.0721 7.2057
Hf Ni S
1 1 2
Direct
0.0000 0.0000 0.0000
0.5000 0.5000 0.5000
0.4023 0.4023 0.4023
0.5977 0.5977 0.5977
```

---

Number 1: D(E_F) 2.32 states/eV/f.u.. Number 2: D(E_F) 4.20 states/eV/f.u.. Number 3: D(E_F) 4.21 states/eV/f.u.. Number 4: D(E_F) 2.85 states/eV/f.u.. Number 5: D(E_F) 4.00 states/eV/f.u.. Number 6: D(E_F) 6.90 states/eV/f.u.. Number 7: D(E_F) 4.37 states/eV/f.u.. Number 8: D(E_F) 2.37 states/eV/f.u.. Number 9: D(E_F) 0.97 states/eV/f.u.. Number 10: D(E_F) 1.06 states/eV/f.u.. Number 11: D(E_F) 17.24 states/eV/f.u.. Number 12: D(E_F) 2.74 states/eV/f.u..